BaAg2Pt2: optimized geometry, PBE.

extended XYZ file:
```
5
Lattice="1.2908 2.1482 6.2611 1.9729 6.2378 1.6370 -4.6000 -3.3378 -3.6305" Properties=species:S:1:pos:R:3 pbc="T T T"
Ag -0.8387 1.5017 3.2898
Ag -0.4977 3.5465 0.9777
Ba 0.0000 0.0000 0.0000
Pt 1.2852 3.3024 3.1103
Pt 1.9784 5.0836 4.7878
```

Results
Crystal system = tetragonal
Raw total energy = -4.24 eV per atom
Total magnetic moment = 0.001 μB per formula unit